# 1
Below is a geometry-optimized RbS structure, with properties calculated at the PBE-GGA level.

Computed properties:
E_form (uncorrected) (eV/atom): -0.912
Density of states at the Fermi level (states/eV per cell): 0.00

```
data_RbS
_chemical_formula_sum 'Rb4 S4'
_symmetry_space_group_name_H-M 'I m m m'
_symmetry_Int_Tables_number 71
_symmetry_space_group_name_Hall '-I 2 2'
_cell_length_a 5.040
_cell_length_b 6.941
_cell_length_c 8.777
_cell_angle_alpha 90.00
_cell_angle_beta 90.00
_cell_angle_gamma 90.00
loop_
_atom_site_label
_atom_site_fract_x
_atom_site_fract_y
_atom_site_fract_z
_atom_site_occupancy
Rb1 0.000 0.000 0.225 1
S1 0.000 0.346 0.500 1
```



# 2
Below is a geometry-optimized LiCePrGa structure, with properties calculated at the PBE-GGA level.

Computed properties:
Formation enthalpy at 0 K (meV per atom): -191
Density of states at the Fermi level (states/eV per cell): 37.16

```
data_LiCePrGa
_chemical_formula_sum 'Li4 Ce4 Pr4 Ga4'
_symmetry_space_group_name_H-M 'F -4 3 m'
_symmetry_Int_Tables_number 216
_symmetry_space_group_name_Hall 'F -4 2 3'
_cell_length_a 7.403
_cell_length_b 7.403
_cell_length_c 7.403
_cell_angle_alpha 90.00
_cell_angle_beta 90.00
_cell_angle_gamma 90.00
loop_
_atom_site_label
_atom_site_fract_x
_atom_site_fract_y
_atom_site_fract_z
_atom_site_occupancy
Li1 0.000 0.000 0.000 1
Ce1 0.250 0.250 0.250 1
Pr1 0.250 0.250 0.750 1
Ga1 0.000 0.000 0.500 1
```



# 3
Below is a geometry-optimized Ti3NbIr2 structure, with properties calculated at the PBE-GGA level.

Computed properties:
Formation enthalpy at 0 K (meV per atom): -669
Density of states at the Fermi level (states/eV per cell): 7.53

```
data_Ti3NbIr2
_chemical_formula_sum 'Ti6 Nb2 Ir4'
_symmetry_space_group_name_H-M 'C m m m'
_symmetry_Int_Tables_number 65
_symmetry_space_group_name_Hall '-C 2 2'
_cell_length_a 4.486
_cell_length_b 13.536
_cell_length_c 3.074
_cell_angle_alpha 90.00
_cell_angle_beta 90.00
_cell_angle_gamma 90.00
loop_
_atom_site_label
_atom_site_fract_x
_atom_site_fract_y
_atom_site_fract_z
_atom_site_occupancy
Ti1 0.000 0.000 0.000 1
Ti2 0.000 0.332 0.000 1
Nb1 0.000 0.500 0.500 1
Ir1 0.000 0.168 0.500 1
```



# 4
Below is a geometry-optimized Ba2NaPd structure, with properties calculated at the PBE-GGA level.

Computed properties:
E above lowest polymorph (eV/atom): 0.145
Formation enthalpy at 0 K (meV per atom): -144
Density of states at the Fermi level (states/eV per cell): 2.57

```
data_Ba2NaPd
_chemical_formula_sum 'Ba2 Na1 Pd1'
_symmetry_space_group_name_H-M 'P 4/m m m'
_symmetry_Int_Tables_number 123
_symmetry_space_group_name_Hall '-P 4 2'
_cell_length_a 5.763
_cell_length_b 5.763
_cell_length_c 4.356
_cell_angle_alpha 90.00
_cell_angle_beta 90.00
_cell_angle_gamma 90.00
loop_
_atom_site_label
_atom_site_fract_x
_atom_site_fract_y
_atom_site_fract_z
_atom_site_occupancy
Ba1 0.000 0.500 0.000 1
Na1 0.000 0.000 0.500 1
Pd1 0.500 0.500 0.500 1
```



# 5
Below is a geometry-optimized Cs3Pu2ZnO9 structure, with properties calculated at the PBE-GGA level.

Computed properties:
E_form (uncorrected) (eV/atom): -1.991
Density of states at the Fermi level (states/eV per cell): 6.51

```
data_Cs3Pu2ZnO9
_chemical_formula_sum 'Cs3 Pu2 Zn1 O9'
_symmetry_space_group_name_H-M 'P -3 m 1'
_symmetry_Int_Tables_number 164
_symmetry_space_group_name_Hall '-P 3 2"'
_cell_length_a 6.1358
_cell_length_b 6.1358
_cell_length_c 7.5443
_cell_angle_alpha 90.00
_cell_angle_beta 90.00
_cell_angle_gamma 120.00
loop_
_atom_site_label
_atom_site_fract_x
_atom_site_fract_y
_atom_site_fract_z
_atom_site_occupancy
Cs1 0.0000 0.0000 0.0000 1
Cs2 0.3333 0.6667 0.6576 1
Pu1 0.3333 0.6667 0.1669 1
Zn1 0.0000 0.0000 0.5000 1
O1 0.0000 0.5000 0.0000 1
O2 0.1780 0.3560 0.3177 1
```



# 6
Below is a geometry-optimized CrAgGe3 structure, with properties calculated at the PBE-GGA level.

Computed properties:
E above lowest polymorph (eV/atom): 0.000
Formation enthalpy at 0 K (meV per atom): 341
Density of states at the Fermi level (states/eV per cell): 4.02

```
data_CrAgGe3
_chemical_formula_sum 'Cr1 Ag1 Ge3'
_symmetry_space_group_name_H-M 'P m -3 m'
_symmetry_Int_Tables_number 221
_symmetry_space_group_name_Hall '-P 4 2 3'
_cell_length_a 4.657
_cell_length_b 4.657
_cell_length_c 4.657
_cell_angle_alpha 90.00
_cell_angle_beta 90.00
_cell_angle_gamma 90.00
loop_
_atom_site_label
_atom_site_fract_x
_atom_site_fract_y
_atom_site_fract_z
_atom_site_occupancy
Cr1 0.000 0.000 0.000 1
Ag1 0.500 0.500 0.500 1
Ge1 0.000 0.000 0.500 1
```



# 7
Below is a geometry-optimized Ca2AcSnO6 structure, with properties calculated at the PBE-GGA level.

Computed properties:
E_form (uncorrected) (eV/atom): -2.432
Density of states at the Fermi level (states/eV per cell): 20.60

```
data_Ca2AcSnO6
_chemical_formula_sum 'Ca6 Ac3 Sn3 O18'
_symmetry_space_group_name_H-M 'R 3'
_symmetry_Int_Tables_number 146
_symmetry_space_group_name_Hall 'R 3'
_cell_length_a 5.9169
_cell_length_b 5.9169
_cell_length_c 15.4674
_cell_angle_alpha 90.00
_cell_angle_beta 90.00
_cell_angle_gamma 120.00
loop_
_atom_site_label
_atom_site_fract_x
_atom_site_fract_y
_atom_site_fract_z
_atom_site_occupancy
Ca1 0.0000 0.0000 0.0000 1
Ca2 0.0000 0.0000 0.4908 1
Ac1 0.0000 0.0000 0.2734 1
Sn1 0.0000 0.0000 0.7849 1
O1 0.0405 0.3358 0.3881 1
O2 0.0650 0.6713 0.5447 1
```



# 8
Below is a geometry-optimized CsNaC2O6 structure, with properties calculated at the PBE-GGA level.

Computed properties:
E_form (uncorrected) (eV/atom): -1.400

```
data_CsNaC2O6
_chemical_formula_sum 'Cs4 Na4 C8 O24'
_symmetry_space_group_name_H-M 'C 1 2/c 1'
_symmetry_Int_Tables_number 15
_cell_length_a 9.532
_cell_length_b 10.776
_cell_length_c 7.640
_cell_angle_alpha 90.00
_cell_angle_beta 112.14
_cell_angle_gamma 90.00
loop_
_symmetry_equiv_pos_as_xyz
'x,y,z'
'-x,-y,-z'
'-x,y,-z+1/2'
'x,-y,z+1/2'
'x+1/2,y+1/2,z'
'-x+1/2,-y+1/2,-z'
'-x+1/2,y+1/2,-z+1/2'
'x+1/2,-y+1/2,z+1/2'
loop_
_atom_site_label
_atom_site_fract_x
_atom_site_fract_y
_atom_site_fract_z
_atom_site_occupancy
Cs1 0.000 0.116 0.250 1
Na1 0.000 0.340 0.750 1
C1 0.214 0.396 0.216 1
O1 0.105 0.341 0.086 1
O2 0.160 0.161 0.702 1
O3 0.198 0.493 0.764 1
```



# 9
Below is a geometry-optimized BaCaSb3 structure, with properties calculated at the PBE-GGA level.

Computed properties:
E above lowest polymorph (eV/atom): 0.000
E_form (uncorrected) (eV/atom): -0.240
Density of states at the Fermi level (states/eV per cell): 3.78

```
data_BaCaSb3
_chemical_formula_sum 'Ba1 Ca1 Sb3'
_symmetry_space_group_name_H-M 'P m -3 m'
_symmetry_Int_Tables_number 221
_symmetry_space_group_name_Hall '-P 4 2 3'
_cell_length_a 5.765
_cell_length_b 5.765
_cell_length_c 5.765
_cell_angle_alpha 90.00
_cell_angle_beta 90.00
_cell_angle_gamma 90.00
loop_
_atom_site_label
_atom_site_fract_x
_atom_site_fract_y
_atom_site_fract_z
_atom_site_occupancy
Ba1 0.000 0.000 0.000 1
Ca1 0.500 0.500 0.500 1
Sb1 0.000 0.500 0.500 1
```



# 10
Below is a geometry-optimized Tm6CuPt5 structure, with properties calculated at the PBE-GGA level.

Computed properties:
Formation enthalpy at 0 K (meV per atom): -1134
Density of states at the Fermi level (states/eV per cell): 14.21

```
data_Tm6CuPt5
_chemical_formula_sum 'Tm12 Cu2 Pt10'
_symmetry_space_group_name_H-M 'C 1 2/m 1'
_symmetry_Int_Tables_number 12
_cell_length_a 8.438
_cell_length_b 14.626
_cell_length_c 4.868
_cell_angle_alpha 90.00
_cell_angle_beta 125.15
_cell_angle_gamma 90.00
loop_
_symmetry_equiv_pos_as_xyz
'x,y,z'
'-x,-y,-z'
'-x,y,-z'
'x,-y,z'
'x+1/2,y+1/2,z'
'-x+1/2,-y+1/2,-z'
'-x+1/2,y+1/2,-z'
'x+1/2,-y+1/2,z'
loop_
_atom_site_label
_atom_site_fract_x
_atom_site_fract_y
_atom_site_fract_z
_atom_site_occupancy
Tm1 0.247 0.000 0.247 1
Tm2 0.248 0.167 0.748 1
Cu1 0.000 0.500 0.000 1
Pt1 0.000 0.000 0.500 1
Pt2 0.000 0.171 0.000 1
Pt3 0.000 0.340 0.500 1
```



# 11
Below is a geometry-optimized P2Pd2Pb structure, with properties calculated at the PBE-GGA level.

Computed properties:
Formation enthalpy at 0 K (meV per atom): -259
Density of states at the Fermi level (states/eV per cell): 3.92

```
data_P2Pd2Pb
_chemical_formula_sum 'P4 Pd4 Pb2'
_symmetry_space_group_name_H-M 'I 4/m m m'
_symmetry_Int_Tables_number 139
_symmetry_space_group_name_Hall '-I 4 2'
_cell_length_a 4.333
_cell_length_b 4.333
_cell_length_c 9.580
_cell_angle_alpha 90.00
_cell_angle_beta 90.00
_cell_angle_gamma 90.00
loop_
_atom_site_label
_atom_site_fract_x
_atom_site_fract_y
_atom_site_fract_z
_atom_site_occupancy
P1 0.000 0.000 0.117 1
Pd1 0.000 0.500 0.250 1
Pb1 0.000 0.000 0.500 1
```



# 12
Below is a geometry-optimized SiHg2As structure, with properties calculated at the PBE-GGA level.

Computed properties:
E above lowest polymorph (eV/atom): 0.375
E_form (uncorrected) (eV/atom): 0.476
Density of states at the Fermi level (states/eV per cell): 3.76

```
data_SiHg2As
_chemical_formula_sum 'Si2 Hg4 As2'
_symmetry_space_group_name_H-M 'C m m m'
_symmetry_Int_Tables_number 65
_symmetry_space_group_name_Hall '-C 2 2'
_cell_length_a 2.898
_cell_length_b 5.404
_cell_length_c 10.994
_cell_angle_alpha 90.00
_cell_angle_beta 90.00
_cell_angle_gamma 90.00
loop_
_atom_site_label
_atom_site_fract_x
_atom_site_fract_y
_atom_site_fract_z
_atom_site_occupancy
Si1 0.000 0.000 0.000 1
Hg1 0.000 0.500 0.244 1
As1 0.000 0.000 0.500 1
```



Q: Which calculated density values were calculated for the entries above? A: 2.54; 5.85; 11.05; 4.64; 7.40; 6.21; 5.54; 2.52; 4.70; 13.88; 8.90; 9.73, in g/cm3.
Q: Which total energy values were calculated for the entries above? A: -27.67; -65.68; -110.98; -10.93; -106.99; -24.62; -198.56; -257.48; -17.49; -149.47; -52.41; -17.55, in eV per cell.